{"formula": "CsRhSe3", "functional": "GGA-PBE", "state": "relaxed", "lattice_angstrom": [[5.128, 0.000, 0.000], [0.000, 5.128, 0.000], [0.000, 0.000, 5.128]], "species": ["Se", "Rh", "Cs", "Se", "Se"], "frac_coords": [[0.500, 0.000, 0.000], [0.000, 0.000, 0.000], [0.500, 0.500, 0.500], [0.000, 0.500, 0.000], [0.000, 0.000, 0.500]], "space_group": "No. 221", "e_form_raw_ev_per_atom": -0.1674}



{"formula": "AcPr3Th", "functional": "GGA-PBE", "state": "relaxed", "lattice_angstrom": [[-1.403, 5.058, 3.860], [-3.974, -3.254, -4.008], [-2.648, -7.187, 8.458]], "species": ["Ac", "Pr", "Pr", "Th", "Pr", "Th", "Ac", "Pr", "Pr", "Pr"], "frac_coords": [[0.345, 0.655, 0.500], [0.349, 0.651, 0.185], [0.651, 0.349, 0.185], [0.135, 0.865, 0.000], [0.349, 0.651, 0.815], [0.865, 0.135, 0.000], [0.655, 0.345, 0.500], [0.651, 0.349, 0.815], [0.000, 0.000, 0.318], [0.000, 0.000, 0.682]], "space_group": "No. 65", "formation_energy_ev_per_atom": 0.18}



{"formula": "Nd2ErAs3Pt4", "functional": "GGA-PBE", "state": "relaxed", "lattice_angstrom": [[4.295, 0.000, 0.000], [0.000, 4.295, 0.000], [0.000, 0.000, 11.312]], "species": ["Pt", "As", "Er", "Pt", "As", "Nd", "Pt", "Pt", "Nd", "As"], "frac_coords": [[0.000, 0.500, 0.347], [0.000, 0.000, 0.500], [0.500, 0.500, 0.500], [0.500, 0.500, 0.000], [0.500, 0.000, 0.871], [0.500, 0.000, 0.215], [0.000, 0.000, 0.000], [0.500, 0.000, 0.653], [0.000, 0.500, 0.785], [0.000, 0.500, 0.129]], "space_group": "No. 115", "formation_energy_ev_per_atom": -0.97}



{"formula": "Na3ScTl4", "functional": "GGA-PBE", "state": "relaxed", "lattice_angstrom": [[5.114, 0.005, -1.388], [-0.362, 5.107, -1.366], [-0.506, -0.578, 8.343]], "species": ["Tl", "Tl", "Tl", "Na", "Tl", "Na", "Sc", "Na"], "frac_coords": [[0.617, 0.616, 0.234], [0.116, 0.117, 0.234], [0.884, 0.883, 0.766], [0.000, 0.500, 0.000], [0.383, 0.384, 0.766], [0.746, 0.246, 0.493], [0.500, 0.000, 0.000], [0.254, 0.754, 0.507]], "space_group": "No. 12", "formation_energy_ev_per_atom": -0.12}



{"formula": "Tb3HoHg6", "functional": "GGA-PBE", "state": "relaxed", "lattice_angstrom": [[5.151, 0.000, 0.000], [0.000, 8.780, -2.722], [0.000, 0.148, 11.113]], "species": ["Tb", "Hg", "Hg", "Tb", "Tb", "Ho", "Hg", "Hg", "Ho", "Hg", "Hg", "Tb", "Hg", "Hg", "Hg", "Tb", "Hg", "Hg", "Hg", "Tb"], "frac_coords": [[0.750, 0.485, 0.613], [0.750, 0.345, 0.299], [0.750, 0.759, 0.492], [0.250, 0.771, 0.992], [0.250, 0.353, 0.796], [0.750, 0.061, 0.392], [0.750, 0.159, 0.688], [0.250, 0.141, 0.196], [0.250, 0.939, 0.608], [0.750, 0.937, 0.106], [0.250, 0.464, 0.089], [0.250, 0.515, 0.387], [0.250, 0.841, 0.312], [0.750, 0.536, 0.911], [0.250, 0.241, 0.508], [0.750, 0.229, 0.008], [0.250, 0.655, 0.701], [0.250, 0.063, 0.894], [0.750, 0.859, 0.804], [0.750, 0.647, 0.204]], "space_group": "No. 11", "formation_energy_ev_per_atom": -0.43}



{"formula": "EuPu2Ge", "functional": "GGA-PBE", "state": "relaxed", "lattice_angstrom": [[-1.642, 1.347, 3.311], [0.113, -3.622, 1.529], [6.036, 1.240, 2.489]], "species": ["Pu", "Ge", "Eu", "Pu"], "frac_coords": [[0.000, 0.000, 0.790], [0.500, 0.500, 0.000], [0.500, 0.500, 0.500], [0.000, 0.000, 0.210]], "space_group": "No. 123", "formation_energy_ev_per_atom": -0.08, "polymorph_energy_kcal_per_mol_atoms": 2.35}



| no. | E_tot (eV for the cell shown) |
| --- | --- |
| 1 | -19.50 |
| 2 | -49.97 |
| 3 | -61.91 |
| 4 | -20.73 |
| 5 | -49.16 |
| 6 | -43.87 |